Record 1
Entry from OQMD via LeMat-Bulk: Y3Cu3Sb4 after structural relaxation (PBE).

a b c (Å): 8.297 8.297 8.297
angles (deg): 109.47 109.47 109.47
Sites, in units of the cell vectors:
Y 0.125 0.750 0.875
Y 0.250 0.625 0.375
Y 0.375 0.250 0.625
Y 0.625 0.375 0.250
Y 0.750 0.875 0.125
Y 0.875 0.125 0.750
Cu 0.125 0.875 0.250
Cu 0.250 0.125 0.875
Cu 0.375 0.625 0.750
Cu 0.625 0.750 0.375
Cu 0.750 0.375 0.625
Cu 0.875 0.250 0.125
Sb 0.000 0.340 0.500
Sb 0.000 0.840 0.500
Sb 0.160 0.160 0.160
Sb 0.340 0.500 0.000
Sb 0.500 0.000 0.340
Sb 0.500 0.000 0.840
Sb 0.660 0.660 0.660
Sb 0.840 0.500 0.000

Output
The final energy is -54.4 eV per formula unit. Its total magnetization is 0.00 μB per atom. For the mass density, the calculation gives 7.1 Mg/m³. Its symmetry is I-43d (220).

***

Record 2
Entry from OQMD via LeMat-Bulk: Nb2AlC after structural relaxation (PBE).

a b c (Å): 3.127 3.127 13.929
angles (deg): 90.00 90.00 120.00
Sites, in units of the cell vectors:
Nb 0.333 0.667 0.090
Nb 0.333 0.667 0.410
Nb 0.667 0.333 0.590
Nb 0.667 0.333 0.910
Al 0.333 0.667 0.750
Al 0.667 0.333 0.250
C 0.000 0.000 0.000
C 0.000 0.000 0.500

Output
The final energy is -35.2 eV per formula unit. Its total magnetization is 0.00 μB per atom. For the mass density, the calculation gives 6.3 Mg/m³. Its symmetry is P6_3/mmc (194).

***

Record 3
Entry from OQMD via LeMat-Bulk: Sm2GdDyIn2 after structural relaxation (PBE).

a b c (Å): 5.451 5.451 6.799
angles (deg): 90.00 90.00 120.00
Sites, in units of the cell vectors:
Sm 0.333 0.667 0.250
Sm 0.667 0.333 0.750
Gd 0.000 0.000 0.500
Dy 0.000 0.000 0.000
In 0.333 0.667 0.750
In 0.667 0.333 0.250

Output
The final energy is -26.3 eV per formula unit. Its total magnetization is 0.14 μB per atom. For the mass density, the calculation gives 8.1 Mg/m³. Its symmetry is P-3m1 (164).

***

Record 4
Entry from OQMD via LeMat-Bulk: ZrScAsO after structural relaxation (PBE).

a b c (Å): 4.084 7.272 5.002
angles (deg): 90.00 90.00 90.00
Sites, in units of the cell vectors:
Zr 0.000 0.233 0.000
Zr 0.000 0.767 0.500
Sc 0.500 0.143 0.501
Sc 0.500 0.857 0.001
As 0.000 0.381 0.501
As 0.000 0.619 0.001
O 0.500 0.147 0.999
O 0.500 0.853 0.499

Output
The final energy is -31.4 eV per formula unit. Its total magnetization is 0.00 μB per atom. For the mass density, the calculation gives 5.1 Mg/m³. Its symmetry is Pmc2_1 (26).

***

Record 5
Entry from OQMD via LeMat-Bulk: TmZrAl2Ni4 after structural relaxation (PBE).

a b c (Å): 4.120 4.120 8.347
angles (deg): 90.00 90.00 120.00
Sites, in units of the cell vectors:
Tm 0.000 0.000 0.000
Zr 0.333 0.667 0.500
Al 0.667 0.333 0.260
Al 0.667 0.333 0.740
Ni 0.000 0.000 0.338
Ni 0.000 0.000 0.662
Ni 0.333 0.667 0.182
Ni 0.333 0.667 0.818

Output
The final energy is -47.7 eV per formula unit. Its total magnetization is 0.00 μB per atom. For the mass density, the calculation gives 7.4 Mg/m³. Its symmetry is P-6m2 (187).

***

Record 6
Entry from OQMD via LeMat-Bulk: NbCuHgGe after structural relaxation (PBE).

a b c (Å): 4.676 4.676 4.676
angles (deg): 60.00 60.00 60.00
Sites, in units of the cell vectors:
Nb 0.000 0.000 0.000
Cu 0.750 0.750 0.750
Hg 0.250 0.250 0.250
Ge 0.500 0.500 0.500

Output
The final energy is -16.3 eV per formula unit. Its total magnetization is 0.44 μB per atom. For the mass density, the calculation gives 9.9 Mg/m³. Its symmetry is F-43m (216).

***

Record 7
Entry from OQMD via LeMat-Bulk: DySc2Ge4Au4 after structural relaxation (PBE).

a b c (Å): 8.274 8.274 8.274
angles (deg): 150.71 129.35 59.59
Sites, in units of the cell vectors:
Dy 0.000 0.000 0.000
Sc 0.378 0.878 0.500
Sc 0.622 0.122 0.500
Ge 0.220 0.220 0.000
Ge 0.321 0.500 0.821
Ge 0.679 0.500 0.179
Ge 0.780 0.780 0.000
Au 0.038 0.334 0.704
Au 0.370 0.666 0.704
Au 0.630 0.334 0.296
Au 0.962 0.666 0.296

Output
The final energy is -55.3 eV per formula unit. Its total magnetization is 0.00 μB per atom. For the mass density, the calculation gives 10.4 Mg/m³. Its symmetry is Immm (71).

***

Record 8
Entry from OQMD via LeMat-Bulk: PuSbAs after structural relaxation (PBE).

a b c (Å): 4.838 4.838 4.838
angles (deg): 60.00 60.00 60.00
Sites, in units of the cell vectors:
Pu 0.000 0.000 0.000
Sb 0.500 0.500 0.500
As 0.250 0.250 0.250

Output
The final energy is -23.8 eV per formula unit. Its total magnetization is 1.86 μB per atom. For the mass density, the calculation gives 9.1 Mg/m³. Its symmetry is F-43m (216).

***

Record 9
Entry from OQMD via LeMat-Bulk: NdBiN2O after structural relaxation (PBE).

a b c (Å): 4.223 4.223 4.192
angles (deg): 90.00 90.00 90.00
Sites, in units of the cell vectors:
Nd 0.000 0.000 0.000
Bi 0.500 0.500 0.500
N 0.000 0.500 0.500
N 0.500 0.000 0.500
O 0.500 0.500 0.000

Output
The final energy is -31.5 eV per formula unit. Its total magnetization is 0.00 μB per atom. For the mass density, the calculation gives 8.8 Mg/m³. Its symmetry is P4/mmm (123).

***

Record 10
Entry from OQMD via LeMat-Bulk: HfGaFeAg after structural relaxation (PBE).

a b c (Å): 4.545 4.545 4.545
angles (deg): 60.00 60.00 60.00
Sites, in units of the cell vectors:
Hf 0.000 0.000 0.000
Ga 0.250 0.250 0.250
Fe 0.500 0.500 0.500
Ag 0.750 0.750 0.750

Output
The final energy is -24.0 eV per formula unit. Its total magnetization is 0.60 μB per atom. For the mass density, the calculation gives 10.3 Mg/m³. Its symmetry is F-43m (216).

***

Record 11
Entry from OQMD via LeMat-Bulk: LiPmNO after structural relaxation (PBE).

a b c (Å): 3.747 5.748 4.575
angles (deg): 90.00 90.00 90.00
Sites, in units of the cell vectors:
Li 0.000 0.222 0.000
Li 0.000 0.778 0.500
Pm 0.500 0.275 0.500
Pm 0.500 0.725 0.000
N 0.000 0.499 0.252
N 0.000 0.501 0.752
O 0.500 0.130 0.000
O 0.500 0.870 0.500

Output
The final energy is -26.1 eV per formula unit. Its total magnetization is 0.00 μB per atom. For the mass density, the calculation gives 6.1 Mg/m³. Its symmetry is Pmc2_1 (26).

***

Record 12
Entry from OQMD via LeMat-Bulk: ScIn2Cu4Ni after structural relaxation (PBE).

a b c (Å): 4.419 4.419 6.191
angles (deg): 90.00 90.00 90.00
Sites, in units of the cell vectors:
Sc 0.000 0.000 0.000
In 0.000 0.000 0.500
In 0.500 0.500 0.000
Cu 0.000 0.500 0.267
Cu 0.000 0.500 0.733
Cu 0.500 0.000 0.267
Cu 0.500 0.000 0.733
Ni 0.500 0.500 0.500

Output
The final energy is -32.9 eV per formula unit. Its total magnetization is 0.00 μB per atom. For the mass density, the calculation gives 8.1 Mg/m³. Its symmetry is P4/mmm (123).

***

> The lowest mass density belongs to which entry?

ZrScAsO

***

> Which of these has the lowest mass density?

ZrScAsO

***

> Among the records above, which one has the lowest mass density?

ZrScAsO

***

> The highest total magnetization belongs to which entry?

PuSbAs